Record 1
PBE CaNbGeTeP, relaxed; energy = -5.56 eV/atom; formation energy without anion corrections = -0.516 eV/atom; offset from the most stable computed form = 0.0899 eV/atom
1.0
3.8651 0.0000 0.0000
0.0000 3.7260 0.0000
0.0000 0.0000 7.6722
Ge P Nb Ca Te
1 1 1 1 1
Direct
0.5000 0.5000 0.6437 Ge
0.0000 0.5000 0.8790 P
0.0000 0.0000 0.6242 Nb
0.5000 0.0000 0.0440 Ca
0.0000 0.5000 0.3182 Te

***

Record 2
PBE AcPuC2, relaxed; E_form = 0.29 eV per atom; energy = -8.93 eV/atom
1.0
-3.8419 0.1108 0.4575
1.5427 -1.0574 -3.1626
0.6258 -4.2806 6.2924
Pu C Ac
1 2 1
Direct
0.0000 0.5000 0.0000 Pu
0.5606 0.6213 0.8085 C
0.4394 0.3787 0.1915 C
0.0000 0.5000 0.5000 Ac

***

| no. | ρ (Mg/m³) | density of states at the Fermi level (states/eV per atom) |
| --- | --- | --- |
| 1 | 5.473 | 0.61 |
| 2 | 11.175 | 2.09 |